LiCdAg4 at its PBEsol-relaxed geometry, computed with meta-GGA SCAN.

Cell and atoms, written as CIF:
```
data_LiCdAg4
_chemical_formula_sum 'Li4 Cd4 Ag16'
_symmetry_space_group_name_H-M 'F -4 3 m'
_symmetry_Int_Tables_number 216
_symmetry_space_group_name_Hall 'F -4 2 3'
_cell_length_a 7.6535
_cell_length_b 7.6535
_cell_length_c 7.6535
_cell_angle_alpha 90.00
_cell_angle_beta 90.00
_cell_angle_gamma 90.00
loop_
_atom_site_label
_atom_site_type_symbol
_atom_site_fract_x
_atom_site_fract_y
_atom_site_fract_z
Li1 Li 0.0000 0.0000 0.0000
Cd1 Cd 0.2500 0.2500 0.2500
Ag1 Ag 0.1250 0.1250 0.6250
```

Energy of formation from the pure elements ... -0.0290 eV/atom



Li2ZrIn2 at its PBEsol-relaxed geometry, computed with meta-GGA SCAN.

Cell and atoms, written as CIF:
```
data_Li2ZrIn2
_chemical_formula_sum 'Li4 Zr2 In4'
_symmetry_space_group_name_H-M 'P 4/m b m'
_symmetry_Int_Tables_number 127
_symmetry_space_group_name_Hall '-P 4 2ab'
_cell_length_a 7.9125
_cell_length_b 7.9125
_cell_length_c 2.9338
_cell_angle_alpha 90.00
_cell_angle_beta 90.00
_cell_angle_gamma 90.00
loop_
_atom_site_label
_atom_site_type_symbol
_atom_site_fract_x
_atom_site_fract_y
_atom_site_fract_z
Li1 Li 0.1153 0.3847 0.0000
Zr1 Zr 0.0000 0.0000 0.0000
In1 In 0.1817 0.6817 0.5000
```

Energy of formation from the pure elements ... -0.3444 eV/atom



RbSi2Se at its PBEsol-relaxed geometry, computed with meta-GGA SCAN.

Cell and atoms, written as CIF:
```
data_RbSi2Se
_chemical_formula_sum 'Rb4 Si8 Se4'
_symmetry_space_group_name_H-M 'I -4 2 d'
_symmetry_Int_Tables_number 122
_symmetry_space_group_name_Hall 'I -4 2bw'
_cell_length_a 8.0492
_cell_length_b 8.0492
_cell_length_c 6.4358
_cell_angle_alpha 90.00
_cell_angle_beta 90.00
_cell_angle_gamma 90.00
loop_
_atom_site_label
_atom_site_type_symbol
_atom_site_fract_x
_atom_site_fract_y
_atom_site_fract_z
Rb1 Rb 0.0000 0.0000 0.0000
Si1 Si 0.1754 0.2500 0.6250
Se1 Se 0.0000 0.0000 0.5000
```

Formation energy without anion corrections ... 517.0 meV/atom



BiOs2Au at its PBEsol-relaxed geometry, computed with meta-GGA SCAN.

Cell and atoms, written as CIF:
```
data_BiOs2Au
_chemical_formula_sum 'Bi4 Os8 Au4'
_symmetry_space_group_name_H-M 'F m -3 m'
_symmetry_Int_Tables_number 225
_symmetry_space_group_name_Hall '-F 4 2 3'
_cell_length_a 6.4676
_cell_length_b 6.4676
_cell_length_c 6.4676
_cell_angle_alpha 90.00
_cell_angle_beta 90.00
_cell_angle_gamma 90.00
loop_
_atom_site_label
_atom_site_type_symbol
_atom_site_fract_x
_atom_site_fract_y
_atom_site_fract_z
Bi1 Bi 0.0000 0.0000 0.0000
Os1 Os 0.2500 0.2500 0.2500
Au1 Au 0.0000 0.0000 0.5000
```

Energy of formation from the pure elements ... 1.1696 eV/atom